# Dy12Er3In

A geometry-optimized Dy12Er3In structure (GGA-PBE, the Alexandria database).

Cell: 4.9408 4.9408 20.0352 Å, 90.00 90.00 90.00°
Positions (direct):
Dy (0.0000, 0.0000, 0.0000)
Dy (0.0000, 0.0000, 0.2455)
Dy (0.0000, 0.0000, 0.5000)
Dy (0.0000, 0.0000, 0.7545)
Dy (0.0000, 0.5000, 0.1215)
Dy (0.0000, 0.5000, 0.3736)
Dy (0.0000, 0.5000, 0.6264)
Dy (0.0000, 0.5000, 0.8785)
Dy (0.5000, 0.0000, 0.1215)
Dy (0.5000, 0.0000, 0.3736)
Dy (0.5000, 0.0000, 0.6264)
Dy (0.5000, 0.0000, 0.8785)
Er (0.5000, 0.5000, 0.2486)
Er (0.5000, 0.5000, 0.5000)
Er (0.5000, 0.5000, 0.7514)
In (0.5000, 0.5000, 0.0000)

Output
Magnetization   0.0 μB per formula unit
Total energy   -4.525 eV per atom
Symmetry   No. 123
Formation enthalpy at 0 K   -47 meV per atom

# Dy6Er8In

A geometry-optimized Dy6Er8In structure (GGA-PBE, the Alexandria database).

Cell: 8.4239 8.4239 8.4239 Å, 63.98 63.98 63.98°
Positions (direct):
Dy (0.0486, 0.7289, 0.6070)
Dy (0.2711, 0.3930, 0.9514)
Dy (0.3930, 0.9514, 0.2711)
Dy (0.6070, 0.0486, 0.7289)
Dy (0.7289, 0.6070, 0.0486)
Dy (0.9514, 0.2711, 0.3930)
Er (0.0759, 0.0759, 0.0759)
Er (0.2168, 0.2462, 0.6089)
Er (0.2462, 0.6089, 0.2168)
Er (0.3911, 0.7832, 0.7538)
Er (0.6089, 0.2168, 0.2462)
Er (0.7538, 0.3911, 0.7832)
Er (0.7832, 0.7538, 0.3911)
Er (0.9241, 0.9241, 0.9241)
In (0.5000, 0.5000, 0.5000)

Output
Magnetization   0.0 μB per formula unit
Total energy   -4.434 eV per atom
Symmetry   No. 148
Formation enthalpy at 0 K   23 meV per atom

# Dy4Er7In

A geometry-optimized Dy4Er7In structure (GGA-PBE, the Alexandria database).

Cell: 6.5607 6.5607 11.7927 Å, 99.73 99.73 50.71°
Positions (direct):
Dy (0.0769, 0.0769, 0.2688)
Dy (0.3596, 0.3596, 0.2179)
Dy (0.6404, 0.6404, 0.7821)
Dy (0.9231, 0.9231, 0.7312)
Er (0.1381, 0.1381, 0.9715)
Er (0.2508, 0.2508, 0.6106)
Er (0.3910, 0.3910, 0.8915)
Er (0.5000, 0.5000, 0.5000)
Er (0.6090, 0.6090, 0.1085)
Er (0.7492, 0.7492, 0.3894)
Er (0.8619, 0.8619, 0.0285)
In (0.0000, 0.0000, 0.5000)

Output
Magnetization   0.0 μB per formula unit
Total energy   -4.259 eV per atom
Symmetry   No. 12
Formation enthalpy at 0 K   165 meV per atom

# Dy7Er4In

A geometry-optimized Dy7Er4In structure (GGA-PBE, the Alexandria database).

Cell: 6.6939 6.6939 12.2544 Å, 112.47 112.47 51.76°
Positions (direct):
Dy (0.0000, 0.0000, 0.0000)
Dy (0.1317, 0.1317, 0.4728)
Dy (0.2983, 0.2983, 0.0800)
Dy (0.4045, 0.4045, 0.7222)
Dy (0.5955, 0.5955, 0.2778)
Dy (0.7017, 0.7017, 0.9200)
Dy (0.8683, 0.8683, 0.5272)
Er (0.1351, 0.1351, 0.7690)
Er (0.3570, 0.3570, 0.3798)
Er (0.6430, 0.6430, 0.6202)
Er (0.8649, 0.8649, 0.2310)
In (0.5000, 0.5000, 0.0000)

Output
Magnetization   0.0 μB per formula unit
Total energy   -4.238 eV per atom
Symmetry   No. 12
Formation enthalpy at 0 K   196 meV per atom

# Dy2Er2In

A geometry-optimized Dy2Er2In structure (GGA-PBE, the Alexandria database).

Cell: 9.1308 9.1308 9.1308 Å, 152.72 152.72 38.96°
Positions (direct):
Dy (0.0900, 0.0900, 0.0000)
Dy (0.9100, 0.9100, 0.0000)
Er (0.2500, 0.7500, 0.5000)
Er (0.7500, 0.2500, 0.5000)
In (0.5000, 0.5000, 0.0000)

Output
Magnetization   0.0 μB per formula unit
Total energy   -3.936 eV per atom
Symmetry   No. 139
Formation enthalpy at 0 K   278 meV per atom

# Dy2Er7In2

A geometry-optimized Dy2Er7In2 structure (GGA-PBE, the Alexandria database).

Cell: 11.0646 11.0646 11.0646 Å, 161.24 54.96 128.84°
Positions (direct):
Dy (0.0000, 0.0000, 0.0000)
Dy (0.6693, 0.1693, 0.5000)
Er (0.2694, 0.6342, 0.6353)
Er (0.3454, 0.3454, 0.0000)
Er (0.3463, 0.0059, 0.3405)
Er (0.6654, 0.0059, 0.6595)
Er (0.6837, 0.8155, 0.8682)
Er (0.9473, 0.8155, 0.1318)
Er (0.9989, 0.6342, 0.3647)
In (0.0505, 0.2942, 0.7562)
In (0.5380, 0.2942, 0.2438)

Output
Magnetization   0.2 μB per formula unit
Total energy   -4.282 eV per atom
Symmetry   No. 44
Formation enthalpy at 0 K   -43 meV per atom

# DyErIn4

A geometry-optimized DyErIn4 structure (GGA-PBE, the Alexandria database).

Cell: 6.9745 5.0181 5.0181 Å, 59.88 90.00 90.00°
Positions (direct):
Dy (0.0000, 0.0000, 0.0000)
Er (0.5000, 0.9992, 0.9992)
In (0.2382, 0.3329, 0.3329)
In (0.2662, 0.6659, 0.6659)
In (0.7338, 0.6659, 0.6659)
In (0.7618, 0.3329, 0.3329)

Output
Magnetization   0.0 μB per formula unit
Total energy   -3.733 eV per atom
Symmetry   No. 38
Formation enthalpy at 0 K   -380 meV per atom

# Dy2Er3In4

A geometry-optimized Dy2Er3In4 structure (GGA-PBE, the Alexandria database).

Cell: 8.7278 8.7278 9.2523 Å, 90.00 90.00 132.70°
Positions (direct):
Dy (0.1107, 0.8893, 0.9343)
Dy (0.3893, 0.6107, 0.4343)
Dy (0.6107, 0.3893, 0.5657)
Dy (0.8893, 0.1107, 0.0657)
Er (0.0000, 0.0000, 0.5000)
Er (0.0368, 0.4632, 0.7500)
Er (0.4632, 0.0368, 0.2500)
Er (0.5000, 0.5000, 0.0000)
Er (0.5368, 0.9632, 0.7500)
Er (0.9632, 0.5368, 0.2500)
In (0.1893, 0.8107, 0.5370)
In (0.2282, 0.2718, 0.7500)
In (0.2718, 0.2282, 0.2500)
In (0.3107, 0.6893, 0.0370)
In (0.6893, 0.3107, 0.9630)
In (0.7282, 0.7718, 0.7500)
In (0.7718, 0.7282, 0.2500)
In (0.8107, 0.1893, 0.4630)

Output
Magnetization   0.0 μB per formula unit
Total energy   -4.008 eV per atom
Symmetry   No. 64
Formation enthalpy at 0 K   -247 meV per atom

# Dy5Er3In

A geometry-optimized Dy5Er3In structure (GGA-PBE, the Alexandria database).

Cell: 7.7930 7.7930 11.2697 Å, 95.01 95.01 60.24°
Positions (direct):
Dy (0.0043, 0.0043, 0.3674)
Dy (0.1615, 0.5829, 0.2400)
Dy (0.1678, 0.8322, 0.0000)
Dy (0.2607, 0.2607, 0.9648)
Dy (0.4171, 0.8385, 0.7600)
Dy (0.5829, 0.1615, 0.2400)
Dy (0.7393, 0.7393, 0.0352)
Dy (0.8322, 0.1678, 0.0000)
Dy (0.8385, 0.4171, 0.7600)
Dy (0.9957, 0.9957, 0.6326)
Er (0.1648, 0.1648, 0.2138)
Er (0.2367, 0.2367, 0.5250)
Er (0.5000, 0.5000, 0.0000)
Er (0.5000, 0.5000, 0.5000)
Er (0.7633, 0.7633, 0.4750)
Er (0.8352, 0.8352, 0.7862)
In (0.4030, 0.4030, 0.7427)
In (0.5970, 0.5970, 0.2573)

Output
Magnetization   0.0 μB per formula unit
Total energy   -3.960 eV per atom
Symmetry   No. 12
Formation enthalpy at 0 K   422 meV per atom

# Dy5Er2In2

A geometry-optimized Dy5Er2In2 structure (GGA-PBE, the Alexandria database).

Cell: 10.0332 10.0332 10.0332 Å, 75.74 117.23 142.07°
Positions (direct):
Dy (0.0522, 0.5088, 0.8449)
Dy (0.0522, 0.7074, 0.0434)
Dy (0.1193, 0.2584, 0.3608)
Dy (0.2438, 0.0552, 0.2990)
Dy (0.2438, 0.4448, 0.6886)
Dy (0.6639, 0.0088, 0.9566)
Dy (0.6639, 0.2074, 0.1551)
Dy (0.7562, 0.5552, 0.3114)
Dy (0.7562, 0.9448, 0.7010)
Dy (0.8976, 0.7584, 0.6392)
Er (0.4990, 0.2659, 0.7330)
Er (0.5329, 0.7659, 0.2670)
Er (0.7014, 0.2014, 0.5000)
Er (0.7014, 0.7014, 0.0000)
In (0.2116, 0.3280, 0.0606)
In (0.2116, 0.6510, 0.3836)
In (0.2674, 0.1510, 0.9394)
In (0.2674, 0.8280, 0.6164)

Output
Magnetization   0.0 μB per formula unit
Total energy   -4.210 eV per atom
Symmetry   No. 46
Formation enthalpy at 0 K   -31 meV per atom